{
  "formula": "BaCrAsO6",
  "functional": "PBE with a Hubbard U",
  "state": "optimized geometry",
  "lattice": [[5.050, 0.000, 0.000], [-2.525, 4.374, 0.000], [0.000, 0.000, 5.782]],
  "species": ["Ba", "Cr", "As", "O", "O", "O", "O", "O", "O"],
  "frac_coords": [[0.000, 0.000, 0.000], [0.333, 0.667, 0.500], [0.667, 0.333, 0.500], [0.406, 0.004, 0.687], [0.406, 0.402, 0.313], [0.598, 0.004, 0.313], [0.598, 0.594, 0.687], [0.996, 0.402, 0.687], [0.996, 0.594, 0.313]],
  "energy_ry_per_atom": -0.48481,
  "sg": "P312 (149)"
}